Record 1
VASP calculation (PBE-GGA) on crystalline La2MgInPt6 at its relaxed geometry.

Its calculated formation energy is -0.7427 eV per atom. As for the total magnetization: 0.00 Bohr magnetons per cell.

It has space group R-3m (No. 166, hexagonal axes), with a = 5.6607 Å, b = 5.6607 Å, c = 25.7214 Å, α = 90.00°, β = 90.00° and γ = 120.00°. Symmetry generates all atoms from La at (0.0000, 0.0000, 0.2075), Mg at (0.0000, 0.0000, 0.5000), In at (0.0000, 0.0000, 0.0000) and Pt at (0.0009, 0.5004, 0.7546).

***

Record 2
VASP calculation (PBE-GGA) on crystalline La2MgInPt at its relaxed geometry.

Its calculated formation energy is -0.5428 eV per atom. As for the total magnetization: 0.00 Bohr magnetons per cell.

It has space group P4/mmm (No. 123), with a = 5.606 Å, b = 5.606 Å, c = 5.083 Å, α = 90.00°, β = 90.00° and γ = 90.00°. Symmetry generates all atoms from La at (0.000, 0.500, 0.000), Mg at (0.000, 0.000, 0.500), In at (0.500, 0.500, 0.500) and Pt at (0.000, 0.000, 0.000).